Entry 1:
This record from Alexandria via LeMat-Bulk describes a relaxed structure of Pu5IrAu. The functional is PBE.

Calculated values
The value obtained for the density of states at the Fermi level is 30.966 states/eV/f.u. Its formation energy is -0.15 eV per atom. For the theoretical density, the calculation gives 15.2 g cm⁻³.

Cell and atoms, written as CIF:
```
data_Pu5IrAu
_chemical_formula_sum 'Pu5 Ir1 Au1'
_symmetry_space_group_name_H-M 'P 1'
_symmetry_Int_Tables_number 1
_cell_length_a 4.8427
_cell_length_b 4.8425
_cell_length_c 7.5109
_cell_angle_alpha 90.00
_cell_angle_beta 90.00
_cell_angle_gamma 90.00
loop_
_symmetry_equiv_pos_as_xyz
'x,y,z'
loop_
_atom_site_label
_atom_site_type_symbol
_atom_site_fract_x
_atom_site_fract_y
_atom_site_fract_z
_atom_site_occupancy
Pu1 Pu 0.5000 0.0000 0.2187 1
Pu2 Pu 0.5000 0.5000 0.5000 1
Pu3 Pu 0.0000 0.5000 0.7814 1
Pu4 Pu 0.5000 0.0000 0.7813 1
Pu5 Pu 0.0000 0.5000 0.2186 1
Au1 Au 0.0000 0.0000 0.5000 1
Ir1 Ir 0.5000 0.5000 0.0000 1
```

***

Entry 2:
This record from Alexandria via LeMat-Bulk describes a relaxed structure of SrPd2WCl. The functional is PBE.

Calculated values
The calculation puts the uncorrected formation energy at 99 meV/atom. The value obtained for the density of states at the Fermi level is 3.399 states/eV/f.u. For the theoretical density, the calculation gives 7.3 g cm⁻³.

Cell and atoms, written as CIF:
```
data_SrPd2WCl
_chemical_formula_sum 'Sr1 Pd2 W1 Cl1'
_symmetry_space_group_name_H-M 'P 1'
_symmetry_Int_Tables_number 1
_cell_length_a 5.0404
_cell_length_b 4.6450
_cell_length_c 5.0404
_cell_angle_alpha 90.00
_cell_angle_beta 90.00
_cell_angle_gamma 90.00
loop_
_symmetry_equiv_pos_as_xyz
'x,y,z'
loop_
_atom_site_label
_atom_site_type_symbol
_atom_site_fract_x
_atom_site_fract_y
_atom_site_fract_z
_atom_site_occupancy
Sr1 Sr 0.5000 0.5000 0.5000 1
Cl1 Cl 0.0000 0.5000 0.0000 1
Pd1 Pd 0.5000 0.0000 0.0000 1
Pd2 Pd 0.0000 0.0000 0.5000 1
W1 W 0.0000 0.0000 0.0000 1
```

***

Entry 3:
This record from Alexandria via LeMat-Bulk describes a relaxed structure of RuBrCl. The functional is PBE.

Calculated values
The calculation puts the uncorrected formation energy at -155 meV/atom. The value obtained for the offset from the most stable computed form is 0.000 eV/f.u. For the theoretical density, the calculation gives 5.0 g cm⁻³.

Cell and atoms, written as CIF:
```
data_RuBrCl
_chemical_formula_sum 'Ru1 Br1 Cl1'
_symmetry_space_group_name_H-M 'P 1'
_symmetry_Int_Tables_number 1
_cell_length_a 3.7068
_cell_length_b 3.7068
_cell_length_c 6.0773
_cell_angle_alpha 90.00
_cell_angle_beta 90.00
_cell_angle_gamma 120.00
loop_
_symmetry_equiv_pos_as_xyz
'x,y,z'
loop_
_atom_site_label
_atom_site_type_symbol
_atom_site_fract_x
_atom_site_fract_y
_atom_site_fract_z
_atom_site_occupancy
Cl1 Cl 0.3333 0.6667 0.4594 1
Ru1 Ru 0.6667 0.3333 0.6642 1
Br1 Br 0.0000 0.0000 0.8764 1
```

***

Entry 4:
This record from Alexandria via LeMat-Bulk describes a relaxed structure of Fe4RuRh. The functional is PBE.

Calculated values
The value obtained for the density of states at the Fermi level is 8.310 states/eV/f.u. Its formation energy is 0.10 eV per atom. For the theoretical density, the calculation gives 9.8 g cm⁻³.

Cell and atoms, written as CIF:
```
data_Fe4RuRh
_chemical_formula_sum 'Fe4 Ru1 Rh1'
_symmetry_space_group_name_H-M 'P 1'
_symmetry_Int_Tables_number 1
_cell_length_a 4.6857
_cell_length_b 4.6857
_cell_length_c 4.6857
_cell_angle_alpha 60.00
_cell_angle_beta 60.00
_cell_angle_gamma 60.00
loop_
_symmetry_equiv_pos_as_xyz
'x,y,z'
loop_
_atom_site_label
_atom_site_type_symbol
_atom_site_fract_x
_atom_site_fract_y
_atom_site_fract_z
_atom_site_occupancy
Fe1 Fe 0.3750 0.8751 0.3750 1
Fe2 Fe 0.3750 0.3750 0.8751 1
Fe3 Fe 0.8751 0.3750 0.3750 1
Fe4 Fe 0.3750 0.3750 0.3750 1
Ru1 Ru 0.0000 0.0000 0.0000 1
Rh1 Rh 0.7500 0.7500 0.7500 1
```

***

Entry 5:
This record from Alexandria via LeMat-Bulk describes a relaxed structure of ScNbCo10. The functional is PBE.

Calculated values
The value obtained for the density of states at the Fermi level is 16.718 states/eV/f.u. Its formation energy is -0.01 eV per atom. For the theoretical density, the calculation gives 7.9 g cm⁻³.

Cell and atoms, written as CIF:
```
data_ScNbCo10
_chemical_formula_sum 'Sc1 Nb1 Co10'
_symmetry_space_group_name_H-M 'P 1'
_symmetry_Int_Tables_number 1
_cell_length_a 3.9779
_cell_length_b 4.7068
_cell_length_c 8.1526
_cell_angle_alpha 90.00
_cell_angle_beta 90.00
_cell_angle_gamma 90.00
loop_
_symmetry_equiv_pos_as_xyz
'x,y,z'
loop_
_atom_site_label
_atom_site_type_symbol
_atom_site_fract_x
_atom_site_fract_y
_atom_site_fract_z
_atom_site_occupancy
Co1 Co 0.5000 0.7534 0.7548 1
Co2 Co 0.0000 0.5000 0.8388 1
Co3 Co 0.0000 0.0000 0.3289 1
Co4 Co 0.5000 0.2466 0.2452 1
Co5 Co 0.5000 0.0000 0.5000 1
Co6 Co 0.0000 0.5000 0.1612 1
Co7 Co 0.5000 0.5000 0.0000 1
Co8 Co 0.0000 0.0000 0.6711 1
Co9 Co 0.5000 0.7534 0.2452 1
Co10 Co 0.5000 0.2466 0.7548 1
Nb1 Nb 0.0000 0.0000 0.0000 1
Sc1 Sc 0.0000 0.5000 0.5000 1
```

***

Entry 6:
This record from Alexandria via LeMat-Bulk describes a relaxed structure of LaSnOs. The functional is PBE.

Calculated values
The value obtained for the density of states at the Fermi level is 1.406 states/eV/f.u. Its formation energy is -0.24 eV per atom. For the theoretical density, the calculation gives 10.9 g cm⁻³.

Cell and atoms, written as CIF:
```
data_LaSnOs
_chemical_formula_sum 'La4 Sn4 Os4'
_symmetry_space_group_name_H-M 'P 1'
_symmetry_Int_Tables_number 1
_cell_length_a 5.9917
_cell_length_b 5.8543
_cell_length_c 7.8147
_cell_angle_alpha 90.00
_cell_angle_beta 90.00
_cell_angle_gamma 90.00
loop_
_symmetry_equiv_pos_as_xyz
'x,y,z'
loop_
_atom_site_label
_atom_site_type_symbol
_atom_site_fract_x
_atom_site_fract_y
_atom_site_fract_z
_atom_site_occupancy
Os1 Os 0.0000 0.2881 0.6305 1
Os2 Os 0.0000 0.7119 0.6305 1
Os3 Os 0.5000 0.7881 0.1305 1
Os4 Os 0.5000 0.2119 0.1305 1
Sn1 Sn 0.2420 0.0000 0.8583 1
Sn2 Sn 0.2580 0.5000 0.3583 1
Sn3 Sn 0.7580 0.0000 0.8583 1
Sn4 Sn 0.7420 0.5000 0.3583 1
La1 La 0.5000 0.5000 0.7779 1
La2 La 0.5000 0.0000 0.4890 1
La3 La 0.0000 0.0000 0.2779 1
La4 La 0.0000 0.5000 0.9890 1
```

***

These records have calculated total energy values of -12.12, -5.27, -4.42, -8.31, -7.30, -6.96 eV/atom, in the order they appear.